Record 1
Hf3NbCr | PBE | optimized geometry

The total magnetization comes out at 0.0 μB per cell. The value obtained for the calculated density is 10.5 Mg/m³. Its density of states at the Fermi level is 1.3462 states/eV per atom. Its calculated volume is 21.62 A^3/atom. The calculation puts the excess energy over the best structure of this formula in the dataset at 0.000 eV/atom. For the formation enthalpy at 0 K, the calculation gives 0.75 eV/atom.

The structure belongs to space group Pm-3m (No. 221); the cell edges are 4.764, 4.764 and 4.764 Å and the angles 90.00°, 90.00° and 90.00°. Symmetry generates all atoms from Hf at (0.000, 0.000, 0.500), Nb at (0.500, 0.500, 0.500) and Cr at (0.000, 0.000, 0.000).



Record 2
Hf2Nb2Cr | PBE | optimized geometry

The total magnetization comes out at 0.0 μB per cell. The value obtained for the calculated density is 10.1 Mg/m³. Its density of states at the Fermi level is 1.2229 states/eV per atom. Its calculated volume is 19.54 A^3/atom. For the formation enthalpy at 0 K, the calculation gives 0.27 eV/atom.

The structure belongs to space group P4/mbm (No. 127); the cell edges are 6.389, 6.389 and 4.787 Å and the angles 90.00°, 90.00° and 90.00°. Symmetry generates all atoms from Hf at (0.165, 0.335, 0.000), Nb at (0.155, 0.655, 0.500) and Cr at (0.000, 0.000, 0.500).



Record 3
HfNb2Cr | PBE | optimized geometry

The total magnetization comes out at 0.0 μB per cell. The value obtained for the calculated density is 9.9 Mg/m³. Its density of states at the Fermi level is 1.5893 states/eV per atom. Its calculated volume is 17.53 A^3/atom. The calculation puts the excess energy over the best structure of this formula in the dataset at 0.000 eV/atom. For the formation enthalpy at 0 K, the calculation gives 0.09 eV/atom.

The structure belongs to space group P4/mmm (No. 123); the cell edges are 3.170, 3.170 and 6.978 Å and the angles 90.00°, 90.00° and 90.00°. Symmetry generates all atoms from Hf at (0.000, 0.000, 0.000), Nb at (0.500, 0.500, 0.285) and Cr at (0.000, 0.000, 0.500).



Record 4
HfNbCr2 | PBE | optimized geometry

The total magnetization comes out at 2.4 μB per cell. The value obtained for the calculated density is 9.7 Mg/m³. Its density of states at the Fermi level is 1.3444 states/eV per atom. Its calculated volume is 16.02 A^3/atom. The calculation puts the excess energy over the best structure of this formula in the dataset at 0.000 eV/atom. For the formation enthalpy at 0 K, the calculation gives 0.11 eV/atom.

The structure belongs to space group P4/mmm (No. 123); the cell edges are 3.168, 3.168 and 6.383 Å and the angles 90.00°, 90.00° and 90.00°. Symmetry generates all atoms from Hf at (0.000, 0.000, 0.000), Nb at (0.000, 0.000, 0.500) and Cr at (0.500, 0.500, 0.268).



Record 5
HfNbCr2 | PBE | optimized geometry

The total magnetization comes out at 0.0 μB per cell. The value obtained for the calculated density is 9.3 Mg/m³. Its density of states at the Fermi level is 1.5352 states/eV per atom. Its calculated volume is 16.67 A^3/atom. The calculation puts the excess energy over the best structure of this formula in the dataset at 0.620 eV/atom. For the formation enthalpy at 0 K, the calculation gives 0.73 eV/atom.

The structure belongs to space group I-42d (No. 122); the cell edges are 6.955, 6.955 and 5.514 Å and the angles 90.00°, 90.00° and 90.00°. Symmetry generates all atoms from Hf at (0.000, 0.000, 0.000), Nb at (0.000, 0.000, 0.500) and Cr at (0.233, 0.250, 0.625).



Record 6
HfNb2Cr | PBE | optimized geometry

The total magnetization comes out at 0.0 μB per cell. The value obtained for the calculated density is 9.2 Mg/m³. Its density of states at the Fermi level is 1.3675 states/eV per atom. Its calculated volume is 18.74 A^3/atom. The calculation puts the excess energy over the best structure of this formula in the dataset at 0.610 eV/atom. For the formation enthalpy at 0 K, the calculation gives 0.70 eV/atom.

The structure belongs to space group I-42d (No. 122); the cell edges are 3.846, 3.846 and 20.266 Å and the angles 90.00°, 90.00° and 90.00°. Symmetry generates all atoms from Hf at (0.000, 0.000, 0.000), Nb at (0.244, 0.250, 0.625) and Cr at (0.000, 0.000, 0.500).



Record 7
HfNb2Cr | PBE | optimized geometry

The total magnetization comes out at 0.0 μB per cell. The value obtained for the calculated density is 10.0 Mg/m³. Its density of states at the Fermi level is 1.6099 states/eV per atom. Its calculated volume is 17.28 A^3/atom. The calculation puts the excess energy over the best structure of this formula in the dataset at 0.107 eV/atom. For the formation enthalpy at 0 K, the calculation gives 0.19 eV/atom.

The structure belongs to space group Fm-3m (No. 225); the cell edges are 6.515, 6.515 and 6.515 Å and the angles 90.00°, 90.00° and 90.00°. Symmetry generates all atoms from Hf at (0.000, 0.000, 0.000), Nb at (0.250, 0.250, 0.250) and Cr at (0.000, 0.000, 0.500).



Record 8
HfNbCr2 | PBE | optimized geometry

The total magnetization comes out at 10.5 μB per cell. The value obtained for the calculated density is 9.8 Mg/m³. Its density of states at the Fermi level is 1.4391 states/eV per atom. Its calculated volume is 15.98 A^3/atom. The calculation puts the excess energy over the best structure of this formula in the dataset at 0.018 eV/atom. For the formation enthalpy at 0 K, the calculation gives 0.12 eV/atom.

The structure belongs to space group Fm-3m (No. 225); the cell edges are 6.346, 6.346 and 6.346 Å and the angles 90.00°, 90.00° and 90.00°. Symmetry generates all atoms from Hf at (0.000, 0.000, 0.000), Nb at (0.000, 0.000, 0.500) and Cr at (0.250, 0.250, 0.250).



Record 9
HfNbCr3 | PBE | optimized geometry

The total magnetization comes out at 6.8 μB per cell. The value obtained for the calculated density is 7.4 Mg/m³. Its density of states at the Fermi level is 1.2335 states/eV per atom. Its calculated volume is 19.30 A^3/atom. The calculation puts the excess energy over the best structure of this formula in the dataset at 0.000 eV/atom. For the formation enthalpy at 0 K, the calculation gives 1.31 eV/atom.

The structure belongs to space group Pm-3m (No. 221); the cell edges are 4.587, 4.587 and 4.587 Å and the angles 90.00°, 90.00° and 90.00°. Symmetry generates all atoms from Hf at (0.000, 0.000, 0.000), Nb at (0.500, 0.500, 0.500) and Cr at (0.000, 0.500, 0.500).